{"formula": "Ca2ZnCrCu", "functional": "PBE", "state": "optimized geometry", "n_ef_per_ev_cell": 3.15, "volume_a3_per_cell": 141.5, "formation_enthalpy_0k_ev_per_atom": 0.520, "lattice_angstrom": [[5.5989, 0.0000, 0.0000], [0.0000, 4.5136, 0.0000], [0.0000, 0.0000, 5.5989]], "species": ["Zn", "Ca", "Cr", "Cu", "Ca"], "frac_coords": [[0.0000, 0.0000, 0.0000], [0.0000, 0.0000, 0.5000], [0.5000, 0.5000, 0.5000], [0.0000, 0.5000, 0.0000], [0.5000, 0.0000, 0.0000]]}